[1]
Entry from the Alexandria database: a geometry-optimized Si2SnCl structure (PBE).

It has space group I-42d (No. 122), with a = 3.9736 Å, b = 3.9736 Å, c = 23.6970 Å, α = 90.00°, β = 90.00° and γ = 90.00°. The distinct sites, in fractional coordinates, are Si at (0.1752, 0.2500, 0.1250), Sn at (0.0000, 0.0000, 0.0000) and Cl at (0.0000, 0.0000, 0.5000).

The value obtained for the total energy is -3.85 eV per atom. For the energy above the most stable polymorph in this dataset, the calculation gives 0 kJ/mol of formula units. Its uncorrected formation energy is 1.3 eV per formula unit.

---

[2]
Entry from the Alexandria database: a geometry-optimized U4As8Pd3 structure (PBE).

It has space group P-4m2 (No. 115), with a = 3.9845 Å, b = 3.9845 Å, c = 18.7873 Å, α = 90.00°, β = 90.00° and γ = 90.00°. The distinct sites, in fractional coordinates, are U at (0.0000, 0.5000, 0.1247), U at (0.0000, 0.5000, 0.6344), As at (0.0000, 0.0000, 0.2453), As at (0.0000, 0.5000, 0.4034), As at (0.0000, 0.5000, 0.9149), As at (0.5000, 0.5000, 0.2454), Pd at (0.0000, 0.0000, 0.0000), Pd at (0.0000, 0.0000, 0.5000) and Pd at (0.5000, 0.5000, 0.5000).

The value obtained for the total energy is -7.17 eV per atom.

---

[3]
Entry from the Alexandria database: a geometry-optimized HgAsSe2 structure (PBE).

It has space group Cmmm (No. 65), with a = 6.0186 Å, b = 7.7033 Å, c = 3.8296 Å, α = 90.00°, β = 90.00° and γ = 90.00°. The distinct sites, in fractional coordinates, are Hg at (0.0000, 0.0000, 0.0000), As at (0.0000, 0.5000, 0.0000) and Se at (0.2500, 0.2500, 0.5000).

The value obtained for the total energy is -2.57 eV per atom. For the energy above the most stable polymorph in this dataset, the calculation gives 184 kJ/mol of formula units. Its uncorrected formation energy is 1.6 eV per formula unit.

---

[4]
Entry from the Alexandria database: a geometry-optimized MgAg2MoS structure (PBE).

It has space group P4/mmm (No. 123), with a = 4.9787 Å, b = 4.9787 Å, c = 4.5666 Å, α = 90.00°, β = 90.00° and γ = 90.00°. The distinct sites, in fractional coordinates, are Mg at (0.0000, 0.0000, 0.0000), Ag at (0.0000, 0.5000, 0.0000), Mo at (0.5000, 0.5000, 0.5000) and S at (0.0000, 0.0000, 0.5000).

The value obtained for the total energy is -3.48 eV per atom. Its uncorrected formation energy is 4.8 eV per formula unit.

---

[5]
Entry from the Alexandria database: a geometry-optimized RbTlTe structure (PBE).

It has space group P-1 (No. 2), with a = 4.8912 Å, b = 5.6750 Å, c = 9.2672 Å, α = 80.87°, β = 89.98° and γ = 89.98°. The distinct sites, in fractional coordinates, are Rb at (0.2491, 0.2772, 0.3485), Tl at (0.2498, 0.7268, 0.0177) and Te at (0.2505, 0.1735, 0.7547).

The value obtained for the total energy is -2.82 eV per atom. For the energy above the most stable polymorph in this dataset, the calculation gives 4 kJ/mol of formula units. Its uncorrected formation energy is -2.0 eV per formula unit.

---

[6]
Entry from the Alexandria database: a geometry-optimized MgReBr structure (PBE).

It has space group R3m (No. 160, hexagonal axes), with a = 3.6810 Å, b = 3.6810 Å, c = 38.5875 Å, α = 90.00°, β = 90.00° and γ = 120.00°. The distinct sites, in fractional coordinates, are Mg at (0.0000, 0.0000, 0.0000), Mg at (0.0000, 0.0000, 0.4819), Re at (0.0000, 0.0000, 0.0876), Re at (0.0000, 0.0000, 0.7254), Br at (0.0000, 0.0000, 0.2919) and Br at (0.0000, 0.0000, 0.8568).

The value obtained for the total energy is -5.45 eV per atom. For the energy above the most stable polymorph in this dataset, the calculation gives 8 kJ/mol of formula units. Its uncorrected formation energy is -0.6 eV per formula unit.

---

[7]
Entry from the Alexandria database: a geometry-optimized Ba2LiPt2 structure (PBE).

It has space group I4/mmm (No. 139), with a = 4.0065 Å, b = 4.0065 Å, c = 20.7403 Å, α = 90.00°, β = 90.00° and γ = 90.00°. The distinct sites, in fractional coordinates, are Ba at (0.0000, 0.0000, 0.1343), Li at (0.0000, 0.0000, 0.5000) and Pt at (0.0000, 0.5000, 0.2500).

The value obtained for the total energy is -3.82 eV per atom. For the energy above the most stable polymorph in this dataset, the calculation gives 181 kJ/mol of formula units.

---

[8]
Entry from the Alexandria database: a geometry-optimized MgTi structure (PBE).

It has space group Pmmn (No. 59, origin choice 2), with a = 2.9287 Å, b = 4.8935 Å, c = 10.9284 Å, α = 90.00°, β = 90.00° and γ = 90.00°. The distinct sites, in fractional coordinates, are Mg at (0.2500, 0.2500, 0.0592), Mg at (0.2500, 0.7500, 0.2135), Ti at (0.2500, 0.2500, 0.5385) and Ti at (0.2500, 0.7500, 0.6787).

The value obtained for the total energy is -4.68 eV per atom.